[1]
Compound: Dy6PSe5
Source: Alexandria via LeMat-Bulk
Functional: PBE-GGA
Structure: optimized geometry

Cell and atoms, written as extended XYZ:
```
12
Lattice="3.5190 -6.1071 0.0000 3.5190 6.1071 0.0000 -2.3364 0.0000 6.6604" Properties=species:S:1:pos:R:3 pbc="T T T"
Dy -0.0630 1.9178 4.9009
Dy 1.0408 0.0000 1.7525
Dy -0.0630 -1.9178 4.9009
Dy 4.7646 1.9178 1.7595
Dy 3.6608 0.0000 4.9079
Dy 4.7646 -1.9178 1.7595
P -1.1682 0.0000 3.3302
Se 3.5190 4.0172 0.0000
Se 2.3508 2.0296 3.3302
Se 3.5190 0.0000 0.0000
Se 2.3508 -2.0296 3.3302
Se 3.5190 -4.0172 0.0000
```

## Properties
- calculated total energy (eV per atom) = -5.985
- space group = C2/m, No. 12

=====

[2]
Compound: DyPSe4
Source: Alexandria via LeMat-Bulk
Functional: PBE-GGA
Structure: optimized geometry

Cell and atoms, written as extended XYZ:
```
12
Lattice="3.7810 -6.3892 0.0000 3.7810 6.3892 0.0000 -3.7797 0.0000 6.9735" Properties=species:S:1:pos:R:3 pbc="T T T"
Dy 0.9463 4.7907 5.2301
Dy 2.8361 -4.7907 1.7434
P 2.8361 1.5942 1.7434
P 0.9463 -1.5942 5.2301
Se 1.3431 2.9615 2.7758
Se 1.3372 0.2293 0.7143
Se -0.5527 -0.2293 4.2011
Se 4.3291 2.9615 0.7110
Se -0.5468 -2.9615 6.2625
Se 4.3350 0.2293 2.7724
Se 2.4452 -0.2293 6.2592
Se 2.4393 -2.9615 4.1977
```

## Properties
- calculated total energy (eV per atom) = -4.721
- space group = C2/c, No. 15

=====

[3]
Compound: Dy5P2Se2
Source: Alexandria via LeMat-Bulk
Functional: PBE-GGA
Structure: optimized geometry

Cell and atoms, written as extended XYZ:
```
18
Lattice="7.1767 -3.7584 0.0000 7.1767 3.7584 0.0000 0.0000 0.0000 7.5507" Properties=species:S:1:pos:R:3 pbc="T T T"
Dy 0.0000 0.0000 0.0000
Dy 5.3044 2.5731 4.9557
Dy 5.3044 1.1853 1.1804
Dy 9.0489 2.5731 4.9557
Dy 9.0489 1.1853 1.1804
Dy 7.1767 0.0000 3.7753
Dy 5.3044 -1.1853 6.3703
Dy 5.3044 -2.5731 2.5950
Dy 9.0489 -1.1853 6.3703
Dy 9.0489 -2.5731 2.5950
P 7.1767 2.6548 2.6830
P 7.1767 1.1036 6.4584
P 7.1767 -1.1036 1.0923
P 7.1767 -2.6548 4.8677
Se 2.8585 0.0000 0.0000
Se 4.3182 0.0000 3.7753
Se 10.0352 0.0000 3.7753
Se 11.4949 0.0000 0.0000
```

## Properties
- calculated total energy (eV per atom) = -5.922
- space group = Cmce, No. 64

=====

Short version: uncorrected formation energy = -1.781, -0.730, -1.389 eV/atom, in the order given.